# 1
Entry from Alexandria via LeMat-Bulk: a geometry-optimized MnTcPPdCl structure (PBE-GGA).

abc: 3.7851 3.7851 8.4288
angles: 101.43 101.43 45.66
Closest atoms and distances in Å follow each position.
Fractional positions:
1 Mn 0.0000 0.0000 0.0000  1 Tc 2.17, 3 P 2.30-2.31
2 Tc 0.2967 0.2967 0.1477  1 Mn 2.17, 1 Cl 2.32
3 P 0.6729 0.6729 0.8720  3 Mn 2.30-2.31, 2 Pd 2.37
4 Pd 0.9825 0.9825 0.6803  2 P 2.37, 2 Cl 2.65
5 Cl 0.3174 0.3174 0.4265  1 Tc 2.32

## Properties
Crystal system: monoclinic
Space group: No. 8
DOS at the Fermi energy (states/eV per atom): 0.51
E_form (uncorrected) (kJ per mole of atoms): -6.0

# 2
Entry from Alexandria via LeMat-Bulk: a geometry-optimized Tb6TlBi2 structure (PBE-GGA).

abc: 8.5051 8.5051 4.3581
angles: 90.00 90.00 120.00
Closest atoms and distances in Å follow each position.
Fractional positions:
1 Tb 0.0000 0.2555 0.0000  2 Tl 3.08, 2 Bi 3.22
2 Tb 0.0000 0.5966 0.5000  4 Bi 3.38, 1 Tl 3.43, 6 Tb 3.63-3.71
3 Tb 0.2555 0.0000 0.0000  2 Tl 3.08, 2 Bi 3.22
4 Tb 0.4034 0.4034 0.5000  4 Bi 3.38, 1 Tl 3.43, 6 Tb 3.63-3.71
5 Tb 0.5966 0.0000 0.5000  4 Bi 3.38, 1 Tl 3.43, 6 Tb 3.63-3.71
6 Tb 0.7445 0.7445 0.0000  2 Tl 3.08, 2 Bi 3.22
7 Tl 0.0000 0.0000 0.5000  9 Tb 3.08-3.43
8 Bi 0.3333 0.6667 0.0000  9 Tb 3.22-3.38
9 Bi 0.6667 0.3333 0.0000  9 Tb 3.22-3.38

## Properties
Crystal system: hexagonal
Space group: No. 189
Formation energy (eV/atom): -0.460
DOS at the Fermi energy (states/eV per atom): 1.27

# 3
Entry from Alexandria via LeMat-Bulk: a geometry-optimized TlCo2Re structure (PBE-GGA).

abc: 5.3870 5.3870 5.3870
angles: 149.86 131.44 58.22
Closest atoms and distances in Å follow each position.
Fractional positions:
1 Tl 0.0000 0.0000 0.0000  6 Co 2.62-2.92, 2 Tl 2.80
2 Co 0.2717 0.7717 0.5000  4 Co 2.57-2.80, 4 Re 2.67
3 Co 0.5004 0.5004 0.0000  2 Re 2.49, 2 Co 2.57, 4 Tl 2.62
4 Re 0.7197 0.2197 0.5000  6 Co 2.49-2.67

## Properties
Crystal system: orthorhombic
Space group: No. 44
Formation energy (eV/atom): 0.660
DOS at the Fermi energy (states/eV per atom): 0.90

# 4
Entry from Alexandria via LeMat-Bulk: a geometry-optimized Li2Zn2Fe structure (PBE-GGA).

abc: 7.0378 7.0378 2.6041
angles: 90.00 90.00 90.00
Closest atoms and distances in Å follow each position.
Fractional positions:
1 Li 0.1605 0.3395 0.0000  6 Zn 2.37-2.49, 2 Li 2.60
2 Li 0.3395 0.8395 0.0000  6 Zn 2.37-2.49, 2 Li 2.60
3 Li 0.6605 0.1605 0.0000  6 Zn 2.37-2.49, 2 Li 2.60
4 Li 0.8395 0.6605 0.0000  6 Zn 2.37-2.49, 2 Li 2.60
5 Zn 0.1404 0.6404 0.5000  6 Li 2.37-2.49, 2 Zn 2.60
6 Zn 0.3596 0.1404 0.5000  6 Li 2.37-2.49, 2 Zn 2.60
7 Zn 0.6404 0.8596 0.5000  6 Li 2.37-2.49, 2 Zn 2.60
8 Zn 0.8596 0.3596 0.5000  6 Li 2.37-2.49, 2 Zn 2.60
9 Fe 0.0000 0.0000 0.5000  2 Fe 2.60, 4 Zn 2.72
10 Fe 0.5000 0.5000 0.5000  2 Fe 2.60, 4 Zn 2.72

## Properties
Crystal system: tetragonal
Space group: No. 127
Formation energy (eV/atom): 0.279
DOS at the Fermi energy (states/eV per atom): 0.65